The following is a PBE calculation of an optimized crystal structure of ScGaO2F, from Alexandria via LeMat-Bulk.

## Properties
ΔE_f (raw) ... -1.9358 eV/atom
Space group ... No. 123

Lattice parameters (Å, degrees): 3.8500 3.8500 3.8914 90.00 90.00 90.00
Positions (direct):
Sc 0.5000 0.5000 0.5000
O 0.0000 0.5000 0.0000
O 0.5000 0.0000 0.0000
Ga 0.0000 0.0000 0.0000
F 0.0000 0.0000 0.5000

---

The following is a PBE calculation of an optimized crystal structure of ScGaO2F, from Alexandria via LeMat-Bulk.

## Properties
ΔE_f (raw) ... -2.1510 eV/atom
Space group ... No. 123

Lattice parameters (Å, degrees): 4.1414 4.1414 4.0240 90.00 90.00 90.00
Positions (direct):
Sc 0.0000 0.0000 0.0000
O 0.0000 0.5000 0.0000
O 0.5000 0.0000 0.0000
Ga 0.5000 0.5000 0.5000
F 0.0000 0.0000 0.5000

---

The following is a PBE calculation of an optimized crystal structure of ScGaOF2, from Alexandria via LeMat-Bulk.

## Properties
ΔE_f (raw) ... -1.7174 eV/atom
Space group ... No. 123
ΔE to the lowest computed polymorph ... 1014 meV/atom

Lattice parameters (Å, degrees): 4.2373 3.7579 4.2373 90.00 90.00 90.00
Positions (direct):
Sc 0.5000 0.5000 0.5000
O 0.0000 0.5000 0.0000
Ga 0.0000 0.0000 0.0000
F 0.0000 0.0000 0.5000
F 0.5000 0.0000 0.0000

---

The following is a PBE calculation of an optimized crystal structure of ScGaOF2, from Alexandria via LeMat-Bulk.

## Properties
ΔE_f (raw) ... -2.7316 eV/atom
Space group ... No. 123
ΔE to the lowest computed polymorph ... 0 meV/atom

Lattice parameters (Å, degrees): 4.2186 4.2186 4.0621 90.00 90.00 90.00
Positions (direct):
Sc 0.0000 0.0000 0.0000
O 0.0000 0.0000 0.5000
Ga 0.5000 0.5000 0.5000
F 0.0000 0.5000 0.0000
F 0.5000 0.0000 0.0000

---

The following is a PBE calculation of an optimized crystal structure of GaSeOF2, from Alexandria via LeMat-Bulk.

## Properties
ΔE_f (raw) ... -1.0355 eV/atom
Space group ... No. 123
ΔE to the lowest computed polymorph ... 0 meV/atom

Lattice parameters (Å, degrees): 4.1957 4.1957 3.7330 90.00 90.00 90.00
Positions (direct):
O 0.0000 0.0000 0.5000
Ga 0.0000 0.0000 0.0000
Se 0.5000 0.5000 0.5000
F 0.0000 0.5000 0.0000
F 0.5000 0.0000 0.0000

---

The following is a PBE calculation of an optimized crystal structure of GaSeOF2, from Alexandria via LeMat-Bulk.

## Properties
ΔE_f (raw) ... -0.8998 eV/atom
Space group ... No. 123
ΔE to the lowest computed polymorph ... 136 meV/atom

Lattice parameters (Å, degrees): 4.5845 4.5845 3.8155 90.00 90.00 90.00
Positions (direct):
O 0.0000 0.0000 0.5000
Ga 0.5000 0.5000 0.5000
Se 0.0000 0.0000 0.0000
F 0.0000 0.5000 0.0000
F 0.5000 0.0000 0.0000

---

The following is a PBE calculation of an optimized crystal structure of GaSnOF2, from Alexandria via LeMat-Bulk.

## Properties
ΔE_f (raw) ... -1.5447 eV/atom
Space group ... No. 123
ΔE to the lowest computed polymorph ... 14 meV/atom

Lattice parameters (Å, degrees): 4.5466 4.5466 4.1568 90.00 90.00 90.00
Positions (direct):
O 0.0000 0.0000 0.5000
Sn 0.0000 0.0000 0.0000
Ga 0.5000 0.5000 0.5000
F 0.0000 0.5000 0.0000
F 0.5000 0.0000 0.0000

---

The following is a PBE calculation of an optimized crystal structure of GaSnOF2, from Alexandria via LeMat-Bulk.

## Properties
ΔE_f (raw) ... -1.5586 eV/atom
Space group ... No. 123
ΔE to the lowest computed polymorph ... 0 meV/atom

Lattice parameters (Å, degrees): 4.3423 4.3423 3.7896 90.00 90.00 90.00
Positions (direct):
O 0.0000 0.0000 0.5000
Sn 0.5000 0.5000 0.5000
Ga 0.0000 0.0000 0.0000
F 0.0000 0.5000 0.0000
F 0.5000 0.0000 0.0000